No. 1
# TeHS3

An optimized crystal structure of TeHS3 (PBE, Alexandria).

a b c (Å): 5.094 5.094 5.094
angles (deg): 90.00 90.00 90.00
Each line ends with the local moment (μB).
Sites, in units of the cell vectors:
Te  0.000  0.000  0.000  0.01
S  0.500  0.000  0.000  -0.13
S  0.000  0.000  0.500  -0.13
S  0.000  0.500  0.000  -0.14
H  0.500  0.500  0.500  0.36

Calculated values
* crystal system: cubic
* N(E_F): 1.4330 states/eV per atom
* theoretical density: 2824 kg/m³
* uncorrected energy: -2.662 eV per atom
* volume: 26.4 Å³ per atom
* space group: No. 221

---

No. 2
# Te2H3S6

An optimized crystal structure of Te2H3S6 (PBE, Alexandria).

a b c (Å): 6.838 6.616 14.669
angles (deg): 74.75 62.82 57.49
Sites, in units of the cell vectors:
S  0.602  0.640  0.380
H  0.716  0.026  0.804
H  0.820  0.493  0.690
S  0.514  0.814  0.132
S  0.272  0.336  0.377
Te  0.818  0.327  0.500
S  0.052  0.989  0.609
S  0.777  0.498  0.905
H  0.284  0.974  0.196
S  0.155  0.862  0.861
Te  0.182  0.673  0.500
S  0.845  0.138  0.139
H  0.180  0.507  0.310
H  0.210  0.040  0.810
S  0.398  0.360  0.620
S  0.486  0.186  0.868
H  0.790  0.960  0.190
Te  0.335  0.819  0.005
S  0.948  0.011  0.391
Te  0.665  0.181  0.995
S  0.728  0.664  0.623
S  0.223  0.502  0.095

Calculated values
* crystal system: triclinic
* N(E_F): 0.5487 states/eV per atom
* theoretical density: 3007 kg/m³
* uncorrected energy: -3.660 eV per atom
* volume: 22.6 Å³ per atom
* space group: No. 2

---

No. 3
# TeH3S2

An optimized crystal structure of TeH3S2 (PBE, Alexandria).

a b c (Å): 3.190 11.780 7.066
angles (deg): 72.07 103.05 90.00
Sites, in units of the cell vectors:
H  0.070  0.657  0.139
Te  0.379  0.989  0.758
H  0.462  0.650  0.925
H  0.664  0.860  0.329
H  0.336  0.140  0.671
S  0.035  0.313  0.069
H  0.930  0.343  0.861
H  0.538  0.350  0.075
S  0.259  0.554  0.518
S  0.965  0.687  0.931
S  0.741  0.446  0.482
Te  0.621  0.011  0.242

Calculated values
* crystal system: monoclinic
* N(E_F): 0.0663 states/eV per atom
* theoretical density: 2635 kg/m³
* uncorrected energy: -3.426 eV per atom
* volume: 20.5 Å³ per atom
* space group: No. 12

---

No. 4
# TeHS

An optimized crystal structure of TeHS (PBE, Alexandria).

a b c (Å): 5.004 6.706 6.558
angles (deg): 123.61 78.51 103.40
Sites, in units of the cell vectors:
Te  0.258  0.771  0.441
S  0.958  0.444  0.128
H  0.460  0.377  0.688
H  0.540  0.623  0.312
Te  0.742  0.229  0.559
S  0.042  0.556  0.872

Calculated values
* crystal system: triclinic
* theoretical density: 3004 kg/m³
* uncorrected energy: -3.361 eV per atom
* volume: 29.6 Å³ per atom
* space group: No. 2

---

No. 5
# TeH2S

An optimized crystal structure of TeH2S (PBE, Alexandria).

a b c (Å): 4.033 7.375 11.559
angles (deg): 89.95 90.00 90.00
Sites, in units of the cell vectors:
H  0.017  0.865  0.863
H  0.984  0.634  0.363
S  0.234  0.000  0.835
S  0.766  0.500  0.335
Te  0.752  0.000  0.586
S  0.234  0.500  0.665
H  0.984  0.866  0.137
S  0.766  0.000  0.165
Te  0.248  0.000  0.414
H  0.016  0.366  0.637
H  0.017  0.635  0.637
Te  0.752  0.500  0.914
H  0.016  0.134  0.863
H  0.983  0.135  0.137
H  0.983  0.365  0.363
Te  0.248  0.500  0.086

Calculated values
* crystal system: monoclinic
* theoretical density: 3124 kg/m³
* uncorrected energy: -3.547 eV per atom
* volume: 21.5 Å³ per atom
* space group: No. 13

---

No. 6
# TeH2S6

An optimized crystal structure of TeH2S6 (PBE, Alexandria).

a b c (Å): 13.843 8.446 6.755
angles (deg): 90.00 148.53 90.00
Sites, in units of the cell vectors:
H  0.540  0.704  0.615
H  0.960  0.204  0.885
S  0.857  0.623  0.552
S  0.147  0.196  0.251
S  0.354  0.784  0.760
Te  0.500  0.500  0.000
S  0.353  0.696  0.249
S  0.646  0.216  0.240
S  0.853  0.804  0.749
S  0.143  0.377  0.448
S  0.647  0.304  0.751
S  0.146  0.284  0.740
S  0.357  0.877  0.052
H  0.040  0.796  0.115
S  0.643  0.123  0.948
H  0.460  0.296  0.385
S  0.854  0.716  0.260
Te  0.000  0.000  0.500

Calculated values
* crystal system: monoclinic
* theoretical density: 2594 kg/m³
* uncorrected energy: -3.787 eV per atom
* volume: 22.9 Å³ per atom
* space group: No. 14

---

No. 7
# TeH2S

An optimized crystal structure of TeH2S (PBE, Alexandria).

a b c (Å): 3.240 3.240 6.217
angles (deg): 74.90 74.90 60.00
Sites, in units of the cell vectors:
S  0.500  0.500  0.500
Te  0.000  0.000  0.000
H  0.866  0.866  0.403
H  0.134  0.134  0.597

Calculated values
* crystal system: trigonal
* N(E_F): 0.4030 states/eV per atom
* theoretical density: 4982 kg/m³
* uncorrected energy: -2.788 eV per atom
* volume: 13.5 Å³ per atom
* space group: No. 166

---

No. 8
# TeHS

An optimized crystal structure of TeHS (PBE, Alexandria).

a b c (Å): 3.961 4.933 7.987
angles (deg): 115.70 90.00 113.54
Sites, in units of the cell vectors:
Te  0.516  0.538  0.180
H  0.302  0.108  0.065
H  0.695  0.896  0.773
S  0.998  0.502  0.919
S  0.998  0.502  0.419
Te  0.481  0.467  0.658

Calculated values
* crystal system: triclinic
* N(E_F): 0.2288 states/eV per atom
* theoretical density: 4233 kg/m³
* uncorrected energy: -3.337 eV per atom
* volume: 21.0 Å³ per atom
* space group: No. 2